Density functional theory data (PBE-GGA) for CsBa2Ca after structural relaxation.

Results
Energy of formation = 0.145 eV/atom
Magnetic moment = 0.000 μB per atom
Energy = -1.531 eV/atom
E above lowest polymorph = 0.024 eV per atom

a = 4.3866 Å, b = 4.3866 Å, c = 15.6757 Å
α = 81.96°, β = 81.96°, γ = 60.00°
Closest atoms and distances in Å follow each position.
Positions (direct):
Cs (0.0000, 0.0000, 0.0000)  6 Cs 4.39, 2 Ba 4.40
Ba (0.9052, 0.9052, 0.2844)  3 Ca 4.19, 6 Ba 4.39, 1 Cs 4.40
Ba (0.0948, 0.0948, 0.7156)  3 Ca 4.19, 6 Ba 4.39, 1 Cs 4.40
Ca (0.5000, 0.5000, 0.5000)  6 Ba 4.19, 6 Ca 4.39

Density functional theory data (PBE-GGA) for CsBa3Ca after structural relaxation.

Results
Energy of formation = 0.597 eV/atom
Magnetic moment = 0.000 μB per atom
Energy = -1.128 eV/atom

a = 6.6700 Å, b = 6.6700 Å, c = 6.6700 Å
α = 90.00°, β = 90.00°, γ = 90.00°
Closest atoms and distances in Å follow each position.
Positions (direct):
Ba (0.5000, 0.0000, 0.0000)  2 Cs 3.34
Ba (0.0000, 0.0000, 0.5000)  2 Cs 3.34
Ba (0.0000, 0.5000, 0.0000)  2 Cs 3.34
Ca (0.5000, 0.5000, 0.5000)  12 Ba 4.72
Cs (0.0000, 0.0000, 0.0000)  6 Ba 3.34

Density functional theory data (PBE-GGA) for CsBa2Ca after structural relaxation.

Results
Energy of formation = 0.175 eV/atom
Magnetic moment = 0.001 μB per atom
Energy = -1.500 eV/atom
E above lowest polymorph = 0.055 eV per atom

a = 7.0930 Å, b = 7.0930 Å, c = 7.0930 Å
α = 60.00°, β = 60.00°, γ = 60.00°
Closest atoms and distances in Å follow each position.
Positions (direct):
Ba (0.7500, 0.7500, 0.7500)  4 Ca 4.34, 4 Cs 4.34
Ba (0.2500, 0.2500, 0.2500)  4 Ca 4.34, 4 Cs 4.34
Cs (0.5000, 0.5000, 0.5000)  8 Ba 4.34
Ca (0.0000, 0.0000, 0.0000)  8 Ba 4.34

Density functional theory data (PBE-GGA) for Cs2BaCa after structural relaxation.

Results
Energy of formation = 0.297 eV/atom
Magnetic moment = 0.000 μB per atom
Energy = -1.111 eV/atom

a = 7.5268 Å, b = 7.5268 Å, c = 7.5268 Å
α = 60.00°, β = 60.00°, γ = 60.00°
Closest atoms and distances in Å follow each position.
Positions (direct):
Ca (0.0000, 0.0000, 0.0000)  8 Cs 4.61
Cs (0.7500, 0.7500, 0.7500)  4 Ba 4.61, 4 Ca 4.61
Cs (0.2500, 0.2500, 0.2500)  4 Ba 4.61, 4 Ca 4.61
Ba (0.5000, 0.5000, 0.5000)  8 Cs 4.61